11
Lattice="5.450 0.000 0.000 -2.725 4.720 0.000 0.000 0.000 6.260" Properties=species:S:1:pos:R:3 comment="Rb2Li2NiF6 | the Alexandria database | GGA+U | relaxed" sg="No. 162" magnetic_moment_mub_per_fu=1.95 e_tot_ev_per_atom=-4.345 density_g_cm3=3.69 volume_a3_per_atom=14.6 pbc="T T T"
Rb 0.000 3.146 0.000
Rb 2.725 1.573 0.000
Li 0.000 3.146 3.130
Li 2.725 1.573 3.130
Ni 0.000 0.000 3.130
F -0.880 1.524 2.052
F -1.845 3.196 4.208
F 1.759 0.000 2.052
F 0.880 1.524 4.208
F 3.691 0.000 4.208
F 1.845 3.196 2.052